Entry 1:
Compound: SbRu2W
Source: Alexandria via LeMat-Bulk
Functional: PBE-GGA
Structure: relaxed

Lattice parameters (Å, degrees): 4.7057 4.7057 2.9545 90.00 90.00 102.91
With the nearest neighbours (Å) after each atom.
Fractional coordinates of all 4 atoms:
Ru  0.0000  0.0000  0.0000  4 Sb 2.78, 4 W 2.78, 4 Ru 2.93-2.95
Ru  0.5000  0.5000  0.0000  4 W 2.78, 4 Sb 2.78, 4 Ru 2.93-2.95
Sb  0.5000  0.0000  0.5000  8 Ru 2.78, 2 W 2.93, 2 Sb 2.95
W  0.0000  0.5000  0.5000  8 Ru 2.78, 2 Sb 2.93, 2 W 2.95

Results
ρ   13.2 g/cm3
Density of states at the Fermi level   0.664 states/eV/atom
Electronic total energy   -8.682 eV per atom
Symmetry   Cmmm

Entry 2:
Compound: SbRu2W
Source: Alexandria via LeMat-Bulk
Functional: PBE-GGA
Structure: relaxed

Lattice parameters (Å, degrees): 3.0850 4.7281 4.4334 90.00 90.00 90.00
With the nearest neighbours (Å) after each atom.
Fractional coordinates of all 4 atoms:
Ru  0.0000  0.0000  0.0000  4 Sb 2.70, 4 Ru 2.82
Ru  0.5000  0.5000  0.0000  4 W 2.70, 4 Ru 2.82
Sb  0.5000  0.0000  0.5000  4 Ru 2.70, 4 W 2.82
W  0.0000  0.5000  0.5000  4 Ru 2.70, 4 Sb 2.82

Results
ρ   13.0 g/cm3
Density of states at the Fermi level   1.102 states/eV/atom
Electronic total energy   -8.507 eV per atom
Symmetry   Pmmm

Entry 3:
Compound: SbRu2W
Source: Alexandria via LeMat-Bulk
Functional: PBE-GGA
Structure: relaxed

Lattice parameters (Å, degrees): 4.6850 4.6850 2.9506 90.00 90.00 90.00
With the nearest neighbours (Å) after each atom.
Fractional coordinates of all 4 atoms:
Ru  0.0000  0.0000  0.0000  4 W 2.77, 4 Sb 2.77, 2 Ru 2.95
Ru  0.5000  0.5000  0.0000  4 W 2.77, 4 Sb 2.77, 2 Ru 2.95
Sb  0.5000  0.0000  0.5000  8 Ru 2.77, 2 Sb 2.95
W  0.0000  0.5000  0.5000  8 Ru 2.77, 2 W 2.95

Results
ρ   13.0 g/cm3
Density of states at the Fermi level   1.526 states/eV/atom
Electronic total energy   -8.541 eV per atom
Symmetry   P4/mmm

Entry 4:
Compound: Sb2RuW
Source: Alexandria via LeMat-Bulk
Functional: PBE-GGA
Structure: relaxed

Lattice parameters (Å, degrees): 5.1702 5.1702 5.1702 132.14 132.14 70.01
With the nearest neighbours (Å) after each atom.
Fractional coordinates of all 4 atoms:
Ru  0.7500  0.2500  0.5000  8 Sb 2.97-2.98, 4 W 2.98
Sb  0.0000  0.0000  0.0000  4 W 2.97, 4 Sb 2.98, 4 Ru 2.98
Sb  0.2500  0.7500  0.5000  4 Ru 2.97, 4 W 2.98, 4 Sb 2.98
W  0.5000  0.5000  0.0000  8 Sb 2.97-2.98, 4 Ru 2.98

Results
ρ   11.8 g/cm3
Density of states at the Fermi level   0.865 states/eV/atom
Symmetry   I-4m2
Energy above the lowest structure with this stoichiometry   0.512 eV per atom

Entry 5:
Compound: SbRuW2
Source: Alexandria via LeMat-Bulk
Functional: PBE-GGA
Structure: relaxed

Lattice parameters (Å, degrees): 4.2650 2.9314 6.0921 61.25 90.00 90.00
With the nearest neighbours (Å) after each atom.
Fractional coordinates of all 4 atoms:
Ru  0.5000  0.2500  0.2500  2 Sb 2.67, 8 W 2.89, 2 Ru 2.93
Sb  0.5000  0.7500  0.7500  2 Ru 2.67, 2 Sb 2.93, 8 W 2.94
W  0.0000  0.9902  0.0097  2 W 2.57-2.77
W  0.0000  0.5098  0.4903  2 W 2.57-2.77

Results
ρ   14.7 g/cm3
Density of states at the Fermi level   0.629 states/eV/atom
Electronic total energy   -9.412 eV per atom
Symmetry   Pmmm

Entry 6:
Compound: SbRuW2
Source: Alexandria via LeMat-Bulk
Functional: PBE-GGA
Structure: relaxed

Lattice parameters (Å, degrees): 3.2284 4.4132 4.6516 90.00 90.00 90.00
With the nearest neighbours (Å) after each atom.
Fractional coordinates of all 4 atoms:
Ru  0.5000  0.0000  0.5000  4 Sb 2.73, 4 W 2.83
Sb  0.0000  0.5000  0.5000  4 Ru 2.73, 4 W 2.83
W  0.0000  0.0000  0.0000  4 W 2.73, 4 Ru 2.83
W  0.5000  0.5000  0.0000  4 W 2.73, 4 Sb 2.83

Results
ρ   14.8 g/cm3
Density of states at the Fermi level   0.839 states/eV/atom
Electronic total energy   -9.451 eV per atom
Symmetry   Pmmm

Entry 7:
Compound: Sb2RuW
Source: Alexandria via LeMat-Bulk
Functional: PBE-GGA
Structure: relaxed

Lattice parameters (Å, degrees): 4.2758 3.0906 5.7690 86.49 90.00 90.00
With the nearest neighbours (Å) after each atom.
Fractional coordinates of all 4 atoms:
Ru  0.5000  0.7500  0.7500  4 Sb 2.67
Sb  0.0000  0.9445  0.0006  2 Ru 2.67, 2 W 2.77
Sb  0.0000  0.5555  0.4994  2 Ru 2.67, 2 W 2.77
W  0.5000  0.2500  0.2500  4 Sb 2.77, 2 W 3.09

Results
ρ   11.5 g/cm3
Density of states at the Fermi level   0.789 states/eV/atom
Symmetry   P2/m
Energy above the lowest structure with this stoichiometry   0.565 eV per atom

Entry 8:
Compound: SbRu2W
Source: Alexandria via LeMat-Bulk
Functional: PBE-GGA
Structure: relaxed

Lattice parameters (Å, degrees): 4.5002 4.5002 4.5002 60.00 60.00 60.00
With the nearest neighbours (Å) after each atom.
Fractional coordinates of all 4 atoms:
Ru  0.0000  0.0000  0.0000  4 Ru 2.76, 4 W 2.76
Ru  0.2500  0.2500  0.2500  4 Sb 2.76, 4 Ru 2.76
Sb  0.5000  0.5000  0.5000  4 W 2.76, 4 Ru 2.76
W  0.7500  0.7500  0.7500  4 Ru 2.76, 4 Sb 2.76

Results
ρ   13.1 g/cm3
Density of states at the Fermi level   1.320 states/eV/atom
Electronic total energy   -8.480 eV per atom
Symmetry   F-43m

Entry 9:
Compound: Sb2RuW
Source: Alexandria via LeMat-Bulk
Functional: PBE-GGA
Structure: relaxed

Lattice parameters (Å, degrees): 3.1777 5.5394 5.5704 49.01 90.00 90.00
With the nearest neighbours (Å) after each atom.
Fractional coordinates of all 4 atoms:
Ru  0.0000  0.0000  0.5000  6 Sb 2.79-2.80
Sb  0.0000  0.0000  0.0000  2 Ru 2.79, 4 W 2.80
Sb  0.5000  0.5000  0.0000  2 W 2.79, 4 Ru 2.80
W  0.5000  0.5000  0.5000  6 Sb 2.79-2.80

Results
ρ   11.9 g/cm3
Density of states at the Fermi level   1.003 states/eV/atom
Symmetry   P2/m
Energy above the lowest structure with this stoichiometry   0.292 eV per atom

Entry 10:
Compound: Sb2RuW
Source: Alexandria via LeMat-Bulk
Functional: PBE-GGA
Structure: relaxed

Lattice parameters (Å, degrees): 3.2924 4.6575 4.6575 90.00 90.00 90.00
With the nearest neighbours (Å) after each atom.
Fractional coordinates of all 4 atoms:
Ru  0.5000  0.0000  0.5000  8 Sb 2.85
Sb  0.0000  0.0000  0.0000  4 W 2.85, 4 Ru 2.85
Sb  0.0000  0.5000  0.5000  4 W 2.85, 4 Ru 2.85
W  0.5000  0.5000  0.0000  8 Sb 2.85

Results
ρ   12.3 g/cm3
Density of states at the Fermi level   0.586 states/eV/atom
Symmetry   P4/mmm
Energy above the lowest structure with this stoichiometry   0.188 eV per atom

Entry 11:
Compound: Sb2RuW
Source: Alexandria via LeMat-Bulk
Functional: PBE-GGA
Structure: relaxed

Lattice parameters (Å, degrees): 4.5933 4.5933 5.6396 78.26 78.26 39.58
With the nearest neighbours (Å) after each atom.
Fractional coordinates of all 4 atoms:
Ru  0.2500  0.2500  0.2500  6 Sb 2.76-2.84
Sb  0.9958  0.9958  0.0029  3 Ru 2.76-2.84, 3 W 2.80-2.82
Sb  0.5042  0.5042  0.4971  3 Ru 2.76-2.84, 3 W 2.80-2.82
W  0.7500  0.7500  0.7500  6 Sb 2.80-2.82, 2 W 3.11

Results
ρ   11.9 g/cm3
Density of states at the Fermi level   0.906 states/eV/atom
Symmetry   C2/m
Energy above the lowest structure with this stoichiometry   0.321 eV per atom

Entry 12:
Compound: SbRuW2
Source: Alexandria via LeMat-Bulk
Functional: PBE-GGA
Structure: relaxed

Lattice parameters (Å, degrees): 3.0168 3.0168 7.3288 90.00 90.00 90.00
With the nearest neighbours (Å) after each atom.
Fractional coordinates of all 4 atoms:
Ru  0.5000  0.5000  0.2500  8 W 2.74, 4 Ru 3.02
Sb  0.5000  0.5000  0.7500  8 W 2.89, 4 Sb 3.02
W  0.0000  0.0000  0.0151  4 Ru 2.74, 4 Sb 2.89, 4 W 3.02
W  0.0000  0.0000  0.4849  4 Ru 2.74, 4 Sb 2.89, 4 W 3.02

Results
ρ   14.7 g/cm3
Density of states at the Fermi level   0.820 states/eV/atom
Electronic total energy   -9.383 eV per atom
Symmetry   P4/mmm

Entry 13:
Compound: SbRuW2
Source: Alexandria via LeMat-Bulk
Functional: PBE-GGA
Structure: relaxed

Lattice parameters (Å, degrees): 3.8150 3.8150 10.2442 79.27 79.27 90.00
With the nearest neighbours (Å) after each atom.
Fractional coordinates of all 8 atoms:
Sb  0.0000  0.0000  0.0000  4 Ru 2.70, 4 W 2.81
Sb  0.7500  0.2500  0.5000  4 Ru 2.70, 4 W 2.81
W  0.6259  0.1250  0.2500  4 W 2.69-2.70, 2 Sb 2.81, 2 Ru 2.82
W  0.1241  0.6250  0.2500  4 W 2.69-2.70, 2 Sb 2.81, 2 Ru 2.82
W  0.3750  0.3741  0.7500  4 W 2.69-2.70, 2 Sb 2.81, 2 Ru 2.82
W  0.8750  0.8759  0.7500  4 W 2.69-2.70, 2 Sb 2.81, 2 Ru 2.82
Ru  0.5000  0.5000  0.0000  4 Sb 2.70, 4 W 2.82
Ru  0.2500  0.7500  0.5000  4 Sb 2.70, 4 W 2.82

Results
ρ   13.6 g/cm3
Density of states at the Fermi level   1.032 states/eV/atom
Electronic total energy   -9.029 eV per atom
Symmetry   I-42d

Entry 14:
Compound: SbRuW2
Source: Alexandria via LeMat-Bulk
Functional: PBE-GGA
Structure: relaxed

Lattice parameters (Å, degrees): 3.0720 4.0032 5.5243 90.00 90.00 90.00
With the nearest neighbours (Å) after each atom.
Fractional coordinates of all 4 atoms:
Ru  0.0000  0.0000  0.5212  6 W 2.72-3.01, 4 Sb 2.77
Sb  0.5000  0.5000  0.7260  6 W 2.75-3.03, 4 Ru 2.77, 2 Sb 3.07
W  0.0000  0.0000  0.0285  2 Ru 2.72-2.80, 4 W 2.75, 4 Sb 3.03
W  0.5000  0.5000  0.2243  6 W 2.75-3.07, 2 Sb 2.75-2.77, 4 Ru 3.01

Results
ρ   14.4 g/cm3
Density of states at the Fermi level   0.820 states/eV/atom
Electronic total energy   -9.413 eV per atom
Symmetry   Pmm2